The following is a DFT calculation (PBEsol) of a geometry-optimized Mg2NiW structure.

The structure in CIF format:
```
data_Mg2NiW
_symmetry_space_group_name_H-M 'R -3 m'
_symmetry_Int_Tables_number 166
_symmetry_space_group_name_Hall '-R 3 2"'
_cell_length_a 2.7978
_cell_length_b 2.7978
_cell_length_c 27.2230
_cell_angle_alpha 90.00
_cell_angle_beta 90.00
_cell_angle_gamma 120.00
loop_
_atom_site_label
_atom_site_type_symbol
_atom_site_fract_x
_atom_site_fract_y
_atom_site_fract_z
Mg1 Mg 0.0000 0.0000 0.2424
Ni1 Ni 0.0000 0.0000 0.5000
W1 W 0.0000 0.0000 0.0000
```

Values from the calculation:
- Energy relative to the elements: 352.2 meV/atom
- E above lowest polymorph: 0 meV/atom